The following is a PBE calculation of NaCeSb2O8 after structural relaxation, from the Alexandria database.

Properties
Its space group is I-4 (82). As for the energy relative to the elements, uncorrected: -1975 kJ/mol of formula units. Its total energy is -75.63 eV per cell.

abc: 5.369 5.369 6.692
angles: 113.65 113.65 90.00
Site moments in Bohr magnetons follow the coordinates.
Sites, in units of the cell vectors:
1 Na 0.750 0.250 0.500  0.00
2 Ce 0.000 0.000 0.000  -0.04
3 Sb 0.500 0.500 0.000  -0.01
4 Sb 0.250 0.750 0.500  -0.01
5 O 0.788 0.825 0.177  0.11
6 O 0.390 0.352 0.177  0.11
7 O 0.590 0.666 0.689  0.12
8 O 0.099 0.023 0.689  0.12
9 O 0.977 0.410 0.311  0.12
10 O 0.334 0.901 0.311  0.12
11 O 0.175 0.610 0.823  0.11
12 O 0.648 0.212 0.823  0.11